# 1
VASP calculation (PBE) on a geometry-optimized Tb2PrDy5Sc structure.

For the formation energy, the calculation gives 148 kJ/mol of formula units.

The structure in CIF format:
```
data_Tb2PrDy5Sc
_space_group_name_H-M_alt 'C m c 21'
_space_group_IT_number 36
_cell_length_a 5.586
_cell_length_b 19.731
_cell_length_c 10.399
_cell_angle_alpha 90.00
_cell_angle_beta 90.00
_cell_angle_gamma 90.00
loop_
_space_group_symop_operation_xyz
'x,y,z'
'-x,-y,z+1/2'
'-x,y,z'
'x,-y,z+1/2'
'x+1/2,y+1/2,z'
'-x+1/2,-y+1/2,z+1/2'
'-x+1/2,y+1/2,z'
'x+1/2,-y+1/2,z+1/2'
loop_
_atom_site_label
_atom_site_fract_x
_atom_site_fract_y
_atom_site_fract_z
Tb1 0.000 0.112 0.000
Tb2 0.000 0.114 0.419
Pr1 0.000 0.413 0.139
Dy1 0.000 0.019 0.705
Dy2 0.000 0.277 0.007
Dy3 0.000 0.297 0.391
Dy4 0.000 0.375 0.705
Dy5 0.000 0.481 0.424
Sc1 0.000 0.196 0.700
```


# 2
VASP calculation (PBE) on a geometry-optimized CaPt2Cl structure.

The energy above the lowest structure with this stoichiometry is 55 meV/atom.

The structure in CIF format:
```
data_CaPt2Cl
_space_group_name_H-M_alt 'P 4 m m'
_space_group_IT_number 99
_cell_length_a 3.598
_cell_length_b 3.598
_cell_length_c 7.465
_cell_angle_alpha 90.00
_cell_angle_beta 90.00
_cell_angle_gamma 90.00
loop_
_space_group_symop_operation_xyz
'x,y,z'
'-y,x,z'
'-x,-y,z'
'y,-x,z'
'-x,y,z'
'y,x,z'
'x,-y,z'
'-y,-x,z'
loop_
_atom_site_label
_atom_site_fract_x
_atom_site_fract_y
_atom_site_fract_z
Ca1 0.000 0.000 0.000
Pt1 0.000 0.000 0.634
Pt2 0.500 0.500 0.703
Cl1 0.500 0.500 0.174
```


# 3
VASP calculation (PBE) on a geometry-optimized PmSi2PdRh structure.

As for the final energy: -6.616 eV/atom.

The structure in CIF format:
```
data_PmSi2PdRh
_space_group_name_H-M_alt 'I -4 m 2'
_space_group_IT_number 119
_space_group_name_Hall 'I -4 -2'
_cell_length_a 4.119
_cell_length_b 4.119
_cell_length_c 10.169
_cell_angle_alpha 90.00
_cell_angle_beta 90.00
_cell_angle_gamma 90.00
loop_
_atom_site_label
_atom_site_fract_x
_atom_site_fract_y
_atom_site_fract_z
Pm1 0.000 0.000 0.000
Si1 0.000 0.000 0.382
Pd1 0.000 0.500 0.750
Rh1 0.000 0.500 0.250
```


Short version: total moment = 0.00; 0.00; 0.00 μB per cell, in the order given.